No. 1
Crystalline CdCu2AgI6 at its relaxed geometry. Source: the Alexandria database, functional PBE-GGA.

ΔE_f (raw): -0.244 eV per atom
space-group type: C2/c (15)

abc: 7.585 10.861 10.861
angles: 91.33 72.21 72.21
Fractional coordinates of all 20 atoms:
Cd 0.250 0.193 0.807
Cd 0.750 0.807 0.193
I 0.884 0.396 0.868
I 0.384 0.868 0.396
I 0.398 0.198 0.022
I 0.983 0.326 0.416
I 0.517 0.584 0.674
I 0.616 0.132 0.604
I 0.102 0.978 0.802
I 0.483 0.416 0.326
I 0.116 0.604 0.132
I 0.898 0.022 0.198
I 0.017 0.674 0.584
I 0.602 0.802 0.978
Cu 0.238 0.373 0.227
Cu 0.262 0.773 0.627
Cu 0.762 0.627 0.773
Cu 0.738 0.227 0.373
Ag 0.750 0.191 0.809
Ag 0.250 0.809 0.191

***

No. 2
Crystalline KCd2CuAg at its relaxed geometry. Source: the Alexandria database, functional PBE-GGA.

ΔH_f (0 K): 0.42 eV/f.u.
space-group type: P4/mmm (123)

abc: 5.118 5.181 5.118
angles: 90.00 90.00 90.00
Fractional coordinates of all 5 atoms:
Ag 0.000 0.500 0.000
Cd 0.500 0.000 0.000
Cd 0.000 0.000 0.500
Cu 0.000 0.000 0.000
K 0.500 0.500 0.500

***

No. 3
Crystalline Li5Cd2CuAg2 at its relaxed geometry. Source: the Alexandria database, functional PBE-GGA.

ΔH_f (0 K): -0.87 eV/f.u.
space-group type: P4/mbm (127)

abc: 3.502 10.053 10.053
angles: 90.00 90.00 90.00
Fractional coordinates of all 20 atoms:
Li 0.500 0.319 0.572
Li 0.500 0.000 0.500
Li 0.500 0.072 0.819
Li 0.500 0.572 0.681
Li 0.500 0.928 0.181
Li 0.500 0.428 0.319
Li 0.500 0.681 0.428
Li 0.500 0.500 0.000
Li 0.500 0.819 0.928
Li 0.500 0.181 0.072
Cd 0.000 0.166 0.334
Cd 0.000 0.834 0.666
Cd 0.000 0.666 0.166
Cd 0.000 0.334 0.834
Ag 0.000 0.367 0.133
Ag 0.000 0.867 0.367
Ag 0.000 0.133 0.633
Ag 0.000 0.633 0.867
Cu 0.000 0.000 0.000
Cu 0.000 0.500 0.500

***

No. 4
Crystalline Mg3Cd3CuAg2 at its relaxed geometry. Source: the Alexandria database, functional PBE-GGA.

ΔH_f (0 K): -1.11 eV/f.u.
space-group type: P-62m (189)

abc: 3.248 7.899 7.899
angles: 120.00 90.00 90.00
Fractional coordinates of all 9 atoms:
Mg 0.000 0.377 0.000
Mg 0.000 0.000 0.377
Mg 0.000 0.623 0.623
Ag 0.500 0.333 0.667
Ag 0.500 0.667 0.333
Cd 0.500 0.000 0.723
Cd 0.500 0.277 0.277
Cd 0.500 0.723 0.000
Cu 0.000 0.000 0.000

***

No. 5
Crystalline MgCdCuAg at its relaxed geometry. Source: the Alexandria database, functional PBE-GGA.

ΔH_f (0 K): -0.32 eV/f.u.
space-group type: F-43m (216)

abc: 4.633 4.633 4.633
angles: 60.00 60.00 60.00
Fractional coordinates of all 4 atoms:
Mg 0.500 0.500 0.500
Ag 0.250 0.250 0.250
Cu 0.750 0.750 0.750
Cd 0.000 0.000 0.000

***

No. 6
Crystalline NaCdCuAg at its relaxed geometry. Source: the Alexandria database, functional PBE-GGA.

ΔH_f (0 K): 0.40 eV/f.u.
space-group type: F-43m (216)

abc: 4.749 4.749 4.749
angles: 60.00 60.00 60.00
Fractional coordinates of all 4 atoms:
Cd 0.750 0.750 0.750
Cu 0.000 0.000 0.000
Ag 0.500 0.500 0.500
Na 0.250 0.250 0.250

***

No. 7
Crystalline NaCd2CuAg at its relaxed geometry. Source: the Alexandria database, functional PBE-GGA.

ΔH_f (0 K): 0.69 eV/f.u.
space-group type: P4/mmm (123)

abc: 5.020 5.020 5.024
angles: 90.00 90.00 90.00
Fractional coordinates of all 5 atoms:
Cd 0.500 0.000 0.000
Cd 0.000 0.500 0.000
Ag 0.000 0.000 0.500
Cu 0.000 0.000 0.000
Na 0.500 0.500 0.500

***

No. 8
Crystalline Nd4CdCuAg2 at its relaxed geometry. Source: the Alexandria database, functional PBE-GGA.

ΔH_f (0 K): -1.87 eV/f.u.
space-group type: R-3m (166)

abc: 5.307 5.307 9.148
angles: 73.14 73.14 60.00
Fractional coordinates of all 8 atoms:
Nd 0.381 0.381 0.856
Nd 0.131 0.131 0.607
Nd 0.619 0.619 0.144
Nd 0.869 0.869 0.393
Ag 0.256 0.256 0.232
Ag 0.744 0.744 0.768
Cu 0.500 0.500 0.500
Cd 0.000 0.000 0.000

***

No. 9
Crystalline CdCu2NiAg at its relaxed geometry. Source: the Alexandria database, functional PBE-GGA.

ΔH_f (0 K): 5.40 eV/f.u.
space-group type: P4/mmm (123)

abc: 4.739 4.722 4.739
angles: 90.00 90.00 90.00
Fractional coordinates of all 5 atoms:
Cd 0.000 0.000 0.000
Cu 0.500 0.000 0.000
Cu 0.000 0.000 0.500
Ni 0.000 0.500 0.000
Ag 0.500 0.500 0.500

***

No. 10
Crystalline PaCdCuAg at its relaxed geometry. Source: the Alexandria database, functional PBE-GGA.

ΔH_f (0 K): 0.44 eV/f.u.
space-group type: F-43m (216)

abc: 4.859 4.859 4.859
angles: 60.00 60.00 60.00
Fractional coordinates of all 4 atoms:
Cu 0.500 0.500 0.500
Cd 0.750 0.750 0.750
Ag 0.000 0.000 0.000
Pa 0.250 0.250 0.250

***

No. 11
Crystalline Cd2Cu2AgPd5 at its relaxed geometry. Source: the Alexandria database, functional PBE-GGA.

ΔH_f (0 K): -0.96 eV/f.u.
space-group type: P4/mbm (127)

abc: 4.021 9.089 9.089
angles: 90.00 90.00 90.00
Fractional coordinates of all 20 atoms:
Pd 0.500 0.000 0.500
Pd 0.500 0.579 0.702
Pd 0.500 0.702 0.421
Pd 0.500 0.921 0.202
Pd 0.500 0.079 0.798
Pd 0.500 0.202 0.079
Pd 0.500 0.421 0.298
Pd 0.500 0.798 0.921
Pd 0.500 0.500 0.000
Pd 0.500 0.298 0.579
Cd 0.000 0.673 0.173
Cd 0.000 0.327 0.827
Cd 0.000 0.173 0.327
Cd 0.000 0.827 0.673
Ag 0.000 0.000 0.000
Ag 0.000 0.500 0.500
Cu 0.000 0.378 0.122
Cu 0.000 0.122 0.622
Cu 0.000 0.622 0.878
Cu 0.000 0.878 0.378

***

No. 12
Crystalline CdCu2Ag2Pd5 at its relaxed geometry. Source: the Alexandria database, functional PBE-GGA.

ΔH_f (0 K): -0.40 eV/f.u.
space-group type: P4/mbm (127)

abc: 4.076 8.968 8.968
angles: 90.00 90.00 90.00
Fractional coordinates of all 20 atoms:
Cu 0.000 0.121 0.621
Cu 0.000 0.379 0.121
Cu 0.000 0.621 0.879
Cu 0.000 0.879 0.379
Pd 0.500 0.077 0.797
Pd 0.500 0.500 0.000
Pd 0.500 0.577 0.703
Pd 0.500 0.703 0.423
Pd 0.500 0.797 0.923
Pd 0.500 0.203 0.077
Pd 0.500 0.423 0.297
Pd 0.500 0.923 0.203
Pd 0.500 0.000 0.500
Pd 0.500 0.297 0.577
Ag 0.000 0.826 0.674
Ag 0.000 0.174 0.326
Ag 0.000 0.326 0.826
Ag 0.000 0.674 0.174
Cd 0.000 0.500 0.500
Cd 0.000 0.000 0.000

***

No. 13
Crystalline Pm4CdCu2Ag at its relaxed geometry. Source: the Alexandria database, functional PBE-GGA.

ΔH_f (0 K): -1.58 eV/f.u.
space-group type: R-3m (166)

abc: 5.211 5.211 9.036
angles: 73.24 73.24 60.00
Fractional coordinates of all 8 atoms:
Pm 0.377 0.377 0.868
Pm 0.623 0.623 0.132
Pm 0.873 0.873 0.381
Pm 0.127 0.127 0.619
Ag 0.500 0.500 0.500
Cu 0.254 0.254 0.238
Cu 0.746 0.746 0.762
Cd 0.000 0.000 0.000

***

No. 14
Crystalline Pr4CdCuAg2 at its relaxed geometry. Source: the Alexandria database, functional PBE-GGA.

ΔH_f (0 K): -1.78 eV/f.u.
space-group type: R-3m (166)

abc: 5.348 5.348 9.208
angles: 73.12 73.12 60.00
Fractional coordinates of all 8 atoms:
Ag 0.256 0.256 0.231
Ag 0.744 0.744 0.769
Pr 0.619 0.619 0.144
Pr 0.381 0.381 0.856
Pr 0.869 0.869 0.393
Pr 0.131 0.131 0.607
Cu 0.500 0.500 0.500
Cd 0.000 0.000 0.000

***

No. 15
Crystalline PuCdCuAg at its relaxed geometry. Source: the Alexandria database, functional PBE-GGA.

ΔH_f (0 K): 0.36 eV/f.u.
space-group type: F-43m (216)

abc: 4.930 4.930 4.930
angles: 60.00 60.00 60.00
Fractional coordinates of all 4 atoms:
Ag 0.500 0.500 0.500
Cu 0.000 0.000 0.000
Cd 0.250 0.250 0.250
Pu 0.750 0.750 0.750

***

No. 16
Crystalline RbCd2CuAg at its relaxed geometry. Source: the Alexandria database, functional PBE-GGA.

ΔH_f (0 K): 0.51 eV/f.u.
space-group type: P4/mmm (123)

abc: 5.173 5.173 5.266
angles: 90.00 90.00 90.00
Fractional coordinates of all 5 atoms:
Rb 0.500 0.500 0.500
Cd 0.000 0.500 0.000
Cd 0.500 0.000 0.000
Cu 0.000 0.000 0.000
Ag 0.000 0.000 0.500

***

No. 17
Crystalline Sc4CdCuAg2 at its relaxed geometry. Source: the Alexandria database, functional PBE-GGA.

ΔH_f (0 K): -2.09 eV/f.u.
space-group type: R-3m (166)

abc: 4.853 4.853 8.368
angles: 73.14 73.14 60.00
Fractional coordinates of all 8 atoms:
Sc 0.869 0.869 0.392
Sc 0.382 0.382 0.855
Sc 0.131 0.131 0.608
Sc 0.618 0.618 0.145
Ag 0.746 0.746 0.763
Ag 0.254 0.254 0.237
Cu 0.500 0.500 0.500
Cd 0.000 0.000 0.000

***

No. 18
Crystalline ScCd2CuAg at its relaxed geometry. Source: the Alexandria database, functional PBE-GGA.

ΔH_f (0 K): 3.00 eV/f.u.
space-group type: P4/mmm (123)

abc: 5.146 5.163 5.146
angles: 90.00 90.00 90.00
Fractional coordinates of all 5 atoms:
Sc 0.000 0.500 0.000
Cu 0.500 0.500 0.500
Cd 0.500 0.000 0.000
Cd 0.000 0.000 0.500
Ag 0.000 0.000 0.000

***

No. 19
Crystalline ScCdCuAg at its relaxed geometry. Source: the Alexandria database, functional PBE-GGA.

ΔH_f (0 K): -0.75 eV/f.u.
space-group type: F-43m (216)

abc: 4.680 4.680 4.680
angles: 60.00 60.00 60.00
Fractional coordinates of all 4 atoms:
Sc 0.250 0.250 0.250
Ag 0.500 0.500 0.500
Cu 0.000 0.000 0.000
Cd 0.750 0.750 0.750

***

No. 20
Crystalline CdCuAgSn at its relaxed geometry. Source: the Alexandria database, functional PBE-GGA.

ΔH_f (0 K): 0.54 eV/f.u.
space-group type: F-43m (216)

abc: 4.796 4.796 4.796
angles: 60.00 60.00 60.00
Fractional coordinates of all 4 atoms:
Cu 0.000 0.000 0.000
Cd 0.750 0.750 0.750
Sn 0.250 0.250 0.250
Ag 0.500 0.500 0.500

***

no.,M_tot (Bohr magnetons per cell)
1,0.0
2,0.0
3,0.0
4,0.0
5,0.0
6,0.0
7,0.0
8,0.0
9,0.0
10,0.0
11,0.0
12,0.0
13,0.0
14,0.0
15,5.9
16,0.0
17,0.0
18,0.0
19,0.0
20,0.0